1.
Mg4ZrAu: optimized geometry, GGA-PBE.

abc: 5.642 5.642 5.642
angles: 60.00 60.00 60.00
Last column: magnetic moment on the atom in μB.
Fractional coordinates of all 6 atoms:
Zr: 0.750 0.750 0.750  0.99
Mg: 0.375 0.874 0.375  0.02
Mg: 0.375 0.375 0.375  0.02
Mg: 0.874 0.375 0.375  0.02
Mg: 0.375 0.375 0.874  0.02
Au: 0.000 0.000 0.000  0.07

Calculated values
The calculation puts the density of states at the Fermi level at 0.6327 states/eV/atom. The value obtained for the uncorrected energy is -2.874 eV/atom.


2.
Mg3ZrAu4: optimized geometry, GGA-PBE.

abc: 3.312 3.312 13.539
angles: 90.00 90.00 90.00
Fractional coordinates of all 8 atoms:
Au: 0.000 0.000 0.380
Au: 0.000 0.000 0.864
Au: 0.000 0.000 0.136
Au: 0.000 0.000 0.620
Mg: 0.500 0.500 0.742
Mg: 0.500 0.500 0.500
Mg: 0.500 0.500 0.258
Zr: 0.500 0.500 0.000

Calculated values
The calculation puts the density of states at the Fermi level at 0.4581 states/eV/atom. The value obtained for the uncorrected energy is -3.892 eV/atom.


3.
Mg2ZrAu: optimized geometry, GGA-PBE.

abc: 4.716 3.053 5.743
angles: 79.13 90.00 90.00
Fractional coordinates of all 4 atoms:
Au: 0.500 0.750 0.750
Mg: 0.000 0.599 0.513
Mg: 0.000 0.901 0.987
Zr: 0.500 0.250 0.250

Calculated values
As for the energy above the most stable polymorph in this dataset: 91 meV/atom. The calculation puts the density of states at the Fermi level at 0.6624 states/eV/atom.


4.
Mg4ZrAu5: optimized geometry, GGA-PBE.

abc: 3.301 3.301 16.969
angles: 90.00 90.00 90.00
Fractional coordinates of all 10 atoms:
Au: 0.500 0.500 0.109
Au: 0.500 0.500 0.500
Au: 0.500 0.500 0.891
Au: 0.500 0.500 0.305
Au: 0.500 0.500 0.695
Mg: 0.000 0.000 0.792
Mg: 0.000 0.000 0.597
Mg: 0.000 0.000 0.403
Mg: 0.000 0.000 0.208
Zr: 0.000 0.000 0.000

Calculated values
The calculation puts the density of states at the Fermi level at 0.5333 states/eV/atom. The value obtained for the uncorrected energy is -3.717 eV/atom.


5.
Mg2ZrAu: optimized geometry, GGA-PBE.

abc: 3.125 3.125 8.282
angles: 90.00 90.00 89.96
Last column: magnetic moment on the atom in μB.
Fractional coordinates of all 4 atoms:
Zr: 0.500 0.500 0.250  0.20
Mg: 0.000 0.000 0.533  0.00
Mg: 0.000 0.000 0.967  0.00
Au: 0.500 0.500 0.750  0.01

Calculated values
As for the energy above the most stable polymorph in this dataset: 13 meV/atom. The calculation puts the density of states at the Fermi level at 0.8082 states/eV/atom.


6.
Mn3Au: optimized geometry, GGA-PBE.

abc: 5.564 5.564 9.201
angles: 90.00 90.00 120.00
Last column: magnetic moment on the atom in μB.
Fractional coordinates of all 16 atoms:
Mn: 0.000 0.500 0.500  3.55
Mn: 0.500 0.500 0.500  3.55
Mn: 0.500 0.500 0.000  3.55
Mn: 0.668 0.834 0.750  3.56
Mn: 0.166 0.834 0.750  3.56
Mn: 0.166 0.332 0.750  3.56
Mn: 0.000 0.500 0.000  3.55
Mn: 0.500 0.000 0.500  3.55
Mn: 0.834 0.668 0.250  3.56
Mn: 0.834 0.166 0.250  3.56
Mn: 0.332 0.166 0.250  3.56
Mn: 0.500 0.000 0.000  3.55
Au: 0.333 0.667 0.250  0.07
Au: 0.000 0.000 0.000  0.07
Au: 0.667 0.333 0.750  0.07
Au: 0.000 0.000 0.500  0.07

Calculated values
The calculation puts the density of states at the Fermi level at 0.7672 states/eV/atom. The value obtained for the uncorrected energy is -7.442 eV/atom.


7.
MnAu: optimized geometry, GGA-PBE.

abc: 12.473 3.061 5.502
angles: 90.00 90.00 90.00
Last column: magnetic moment on the atom in μB.
Fractional coordinates of all 12 atoms:
Mn: 0.166 0.500 0.684  3.89
Mn: 0.834 0.500 0.684  3.89
Mn: 0.334 0.000 0.184  3.89
Mn: 0.666 0.000 0.184  3.89
Mn: 0.000 0.000 0.392  3.80
Mn: 0.500 0.500 0.892  3.80
Au: 0.156 0.500 0.185  0.09
Au: 0.000 0.000 0.873  0.08
Au: 0.844 0.500 0.185  0.09
Au: 0.344 0.000 0.685  0.09
Au: 0.500 0.500 0.373  0.08
Au: 0.656 0.000 0.685  0.09

Calculated values
The calculation puts the density of states at the Fermi level at 0.6588 states/eV/atom. The value obtained for the uncorrected energy is -6.065 eV/atom.


8.
Mn3Au: optimized geometry, GGA-PBE.

abc: 5.085 5.085 5.085
angles: 90.00 90.00 90.00
Last column: magnetic moment on the atom in μB.
Fractional coordinates of all 4 atoms:
Mn: 0.500 0.000 0.000  4.26
Mn: 0.000 0.000 0.500  4.26
Mn: 0.000 0.500 0.000  4.26
Au: 0.000 0.000 0.000  0.12

Calculated values
The calculation puts the density of states at the Fermi level at 0.6517 states/eV/atom. The value obtained for the uncorrected energy is -6.443 eV/atom.


9.
MnAu7: optimized geometry, GGA-PBE.

abc: 4.151 4.151 8.725
angles: 103.76 103.76 90.00
Last column: magnetic moment on the atom in μB.
Fractional coordinates of all 8 atoms:
Au: 0.379 0.879 0.757  0.03
Au: 0.749 0.749 0.498  -0.01
Au: 0.121 0.621 0.243  0.03
Au: 0.621 0.121 0.243  0.03
Au: 0.251 0.251 0.502  -0.01
Au: 0.879 0.379 0.757  0.03
Au: 0.500 0.500 0.000  0.04
Mn: 0.000 0.000 0.000  4.06

Calculated values
The calculation puts the density of states at the Fermi level at 0.2266 states/eV/atom. The value obtained for the uncorrected energy is -4.049 eV/atom.


10.
Mn3Au: optimized geometry, GGA-PBE.

abc: 2.746 2.746 7.411
angles: 90.00 90.00 90.00
Last column: magnetic moment on the atom in μB.
Fractional coordinates of all 4 atoms:
Mn: 0.500 0.500 0.281  3.10
Mn: 0.500 0.500 0.719  3.10
Mn: 0.000 0.000 0.500  -1.79
Au: 0.000 0.000 0.000  0.12

Calculated values
The calculation puts the density of states at the Fermi level at 0.8697 states/eV/atom. The value obtained for the uncorrected energy is -7.582 eV/atom.


11.
MnAu3: optimized geometry, GGA-PBE.

abc: 4.744 5.823 5.823
angles: 120.00 90.00 90.00
Last column: magnetic moment on the atom in μB.
Fractional coordinates of all 8 atoms:
Au: 0.250 0.169 0.831  0.05
Au: 0.750 0.831 0.169  0.05
Au: 0.250 0.662 0.831  0.05
Au: 0.750 0.831 0.662  0.05
Au: 0.250 0.169 0.338  0.05
Au: 0.750 0.338 0.169  0.05
Mn: 0.750 0.333 0.667  4.09
Mn: 0.250 0.667 0.333  4.09

Calculated values
The calculation puts the density of states at the Fermi level at 0.5318 states/eV/atom. The value obtained for the uncorrected energy is -4.800 eV/atom.


12.
Mn5Au3: optimized geometry, GGA-PBE.

abc: 7.371 7.371 7.705
angles: 94.91 94.91 139.09
Last column: magnetic moment on the atom in μB.
Fractional coordinates of all 16 atoms:
Au: 0.831 0.670 0.500  0.11
Au: 0.728 0.773 0.000  0.11
Au: 0.374 0.874 0.149  0.10
Au: 0.626 0.126 0.852  0.10
Au: 0.170 0.331 0.500  0.11
Au: 0.273 0.228 0.000  0.11
Mn: 0.739 0.906 0.683  3.77
Mn: 0.213 0.517 0.837  3.81
Mn: 0.406 0.239 0.683  3.77
Mn: 0.984 0.288 0.164  3.81
Mn: 0.254 0.754 0.497  3.48
Mn: 0.262 0.095 0.318  3.77
Mn: 0.747 0.247 0.503  3.48
Mn: 0.017 0.713 0.837  3.81
Mn: 0.788 0.484 0.164  3.81
Mn: 0.595 0.762 0.318  3.77

Calculated values
As for the energy above the most stable polymorph in this dataset: 74 meV/atom. The calculation puts the density of states at the Fermi level at 0.7190 states/eV/atom.


Please write out number 7 again, unchanged.
MnAu: optimized geometry, GGA-PBE.

abc: 12.473 3.061 5.502
angles: 90.00 90.00 90.00
Last column: magnetic moment on the atom in μB.
Fractional coordinates of all 12 atoms:
Mn: 0.166 0.500 0.684  3.89
Mn: 0.834 0.500 0.684  3.89
Mn: 0.334 0.000 0.184  3.89
Mn: 0.666 0.000 0.184  3.89
Mn: 0.000 0.000 0.392  3.80
Mn: 0.500 0.500 0.892  3.80
Au: 0.156 0.500 0.185  0.09
Au: 0.000 0.000 0.873  0.08
Au: 0.844 0.500 0.185  0.09
Au: 0.344 0.000 0.685  0.09
Au: 0.500 0.500 0.373  0.08
Au: 0.656 0.000 0.685  0.09

Calculated values
The calculation puts the density of states at the Fermi level at 0.6588 states/eV/atom. The value obtained for the uncorrected energy is -6.065 eV/atom.


Repeat the twelfth record exactly.
Mn5Au3: optimized geometry, GGA-PBE.

abc: 7.371 7.371 7.705
angles: 94.91 94.91 139.09
Last column: magnetic moment on the atom in μB.
Fractional coordinates of all 16 atoms:
Au: 0.831 0.670 0.500  0.11
Au: 0.728 0.773 0.000  0.11
Au: 0.374 0.874 0.149  0.10
Au: 0.626 0.126 0.852  0.10
Au: 0.170 0.331 0.500  0.11
Au: 0.273 0.228 0.000  0.11
Mn: 0.739 0.906 0.683  3.77
Mn: 0.213 0.517 0.837  3.81
Mn: 0.406 0.239 0.683  3.77
Mn: 0.984 0.288 0.164  3.81
Mn: 0.254 0.754 0.497  3.48
Mn: 0.262 0.095 0.318  3.77
Mn: 0.747 0.247 0.503  3.48
Mn: 0.017 0.713 0.837  3.81
Mn: 0.788 0.484 0.164  3.81
Mn: 0.595 0.762 0.318  3.77

Calculated values
As for the energy above the most stable polymorph in this dataset: 74 meV/atom. The calculation puts the density of states at the Fermi level at 0.7190 states/eV/atom.